## Ag6AuF2 (PBE-GGA)

Data for a relaxed structure of Ag6AuF2. Values from VASP.

Calculated values
- Space-group type: No. 15
- Crystal system: monoclinic
- E_form (uncorrected): -0.40 eV/atom

```
&SYSTEM
  ibrav = 0, nat = 18, ntyp = 3
/
ATOMIC_SPECIES
Ag 107.87 Ag.upf
F 19.00 F.upf
Au 196.97 Au.upf
ATOMIC_POSITIONS crystal
Ag 0.2945 0.7451 0.9796
Ag 0.6381 0.1200 0.4363
Ag 0.9449 0.7473 0.3923
Ag 0.0551 0.2527 0.6077
Ag 0.7055 0.2549 0.0204
Ag 0.5551 0.6077 0.2527
Ag 0.1381 0.4363 0.1200
Ag 0.8619 0.5637 0.8800
Ag 0.7945 0.9796 0.7451
Ag 0.2055 0.0204 0.2549
Ag 0.3619 0.8800 0.5637
Ag 0.4449 0.3923 0.7473
F 0.3656 0.3701 0.3434
F 0.6344 0.6299 0.6566
F 0.8656 0.3434 0.3701
F 0.1344 0.6566 0.6299
Au 0.2500 0.1066 0.8934
Au 0.7500 0.8934 0.1066
CELL_PARAMETERS angstrom
5.3304 0.2197 1.0986
1.5569 7.5540 0.0096
0.2937 -0.2662 7.7026
```

---

## TaSIN2 (PBE-GGA)

Data for a relaxed structure of TaSIN2. Values from VASP.

Calculated values
- Space-group type: No. 123
- Distance to the lowest polymorph of the same formula: 1665 meV per atom
- Crystal system: tetragonal
- E_form (uncorrected): 2.07 eV/atom

```
&SYSTEM
  ibrav = 0, nat = 5, ntyp = 4
/
ATOMIC_SPECIES
N 14.01 N.upf
S 32.06 S.upf
I 126.90 I.upf
Ta 180.95 Ta.upf
ATOMIC_POSITIONS crystal
N 0.5000 0.0000 0.0000
N 0.0000 0.5000 0.0000
S 0.0000 0.0000 0.5000
I 0.0000 0.0000 0.0000
Ta 0.5000 0.5000 0.5000
CELL_PARAMETERS angstrom
3.9776 0.0000 0.0000
0.0000 3.9776 0.0000
0.0000 0.0000 5.0988
```

---

## LaPrEr (PBE-GGA)

Data for a relaxed structure of LaPrEr. Values from VASP.

Calculated values
- Space-group type: No. 187
- Distance to the lowest polymorph of the same formula: 46 meV per atom
- Crystal system: hexagonal
- Formation enthalpy at 0 K: 0.06 eV per atom

```
&SYSTEM
  ibrav = 0, nat = 3, ntyp = 3
/
ATOMIC_SPECIES
Er 167.26 Er.upf
La 138.91 La.upf
Pr 140.91 Pr.upf
ATOMIC_POSITIONS crystal
Er 0.1667 0.3333 0.6667
La 0.1669 0.0000 0.0000
Pr 0.6665 0.6667 0.3333
CELL_PARAMETERS angstrom
3.5276 0.0000 0.0000
0.0000 5.7981 0.0000
0.0000 -2.8991 5.0213
```